Entry 1:
{"formula": "CoAs2Pt", "functional": "PBE", "state": "relaxed", "lattice": [[5.801, 0.000, 0.000], [0.000, 8.641, 0.000], [-1.445, 0.000, 2.528]], "species": ["Co", "Co", "As", "As", "As", "As", "Pt", "Pt"], "fractional_positions": [[0.000, 0.000, 0.000], [0.500, 0.500, 0.000], [0.250, 0.250, 0.000], [0.250, 0.750, 0.000], [0.750, 0.250, 0.000], [0.750, 0.750, 0.000], [0.000, 0.500, 0.000], [0.500, 0.000, 0.000]], "de_polymorph_mev_per_atom": 545.4, "e_form_mev_per_atom": 280}

=====

Entry 2:
{"formula": "Y3HgN", "functional": "PBE", "state": "relaxed", "lattice": [[3.321, -5.857, 0.000], [3.321, 5.857, 0.000], [-1.583, 0.000, 6.294]], "species": ["Y", "Y", "Y", "Y", "Y", "Y", "Hg", "Hg", "N", "N"], "fractional_positions": [[0.197, 0.273, 0.005], [0.245, 0.755, 0.750], [0.273, 0.197, 0.505], [0.727, 0.803, 0.495], [0.755, 0.245, 0.250], [0.803, 0.727, 0.995], [0.257, 0.743, 0.250], [0.743, 0.257, 0.750], [0.055, 0.945, 0.750], [0.945, 0.055, 0.250]], "e_form_raw_ev_per_atom": -0.813}

=====

Entry 3:
{"formula": "InHSe2N", "functional": "PBE", "state": "relaxed", "lattice": [[5.520, 0.000, 0.000], [0.000, 5.520, 0.000], [0.000, 0.000, 4.280]], "species": ["In", "H", "Se", "Se", "N"], "fractional_positions": [[0.000, 0.000, 0.000], [0.500, 0.500, 0.500], [0.000, 0.500, 0.000], [0.500, 0.000, 0.000], [0.000, 0.000, 0.500]], "de_polymorph_mev_per_atom": 414.0}

=====

Entry 4:
{"formula": "BaTmIn", "functional": "PBE", "state": "relaxed", "lattice": [[5.509, 0.000, 0.000], [-2.755, 4.771, 0.000], [0.000, 0.000, 4.129]], "species": ["Ba", "Tm", "In"], "fractional_positions": [[0.000, 0.000, 0.000], [0.333, 0.667, 0.500], [0.667, 0.333, 0.500]], "de_polymorph_mev_per_atom": 222.2, "e_form_mev_per_atom": -91}

=====

Entry 5:
{"formula": "ErTh2Cd", "functional": "PBE", "state": "relaxed", "lattice": [[3.436, 0.000, 0.000], [-1.718, 2.976, 0.000], [0.000, 0.000, 37.519]], "species": ["Er", "Er", "Er", "Th", "Th", "Th", "Th", "Th", "Th", "Cd", "Cd", "Cd"], "fractional_positions": [[0.000, 0.000, 0.000], [0.333, 0.667, 0.667], [0.667, 0.333, 0.333], [0.000, 0.000, 0.411], [0.000, 0.000, 0.589], [0.333, 0.667, 0.078], [0.333, 0.667, 0.255], [0.667, 0.333, 0.745], [0.667, 0.333, 0.922], [0.000, 0.000, 0.500], [0.333, 0.667, 0.167], [0.667, 0.333, 0.833]], "de_polymorph_mev_per_atom": 233.3, "e_form_mev_per_atom": 242}

=====

Entry 6:
{"formula": "Pr2ErZrAs4", "functional": "PBE", "state": "relaxed", "lattice": [[7.146, 0.000, 0.000], [0.000, 4.126, 0.000], [-2.366, 0.000, 6.766]], "species": ["Pr", "Pr", "Er", "Zr", "As", "As", "As", "As"], "fractional_positions": [[0.000, 0.000, 0.000], [0.500, 0.500, 0.000], [0.000, 0.500, 0.500], [0.500, 0.000, 0.500], [0.250, 0.000, 0.731], [0.263, 0.500, 0.273], [0.737, 0.500, 0.727], [0.750, 0.000, 0.269]], "e_form_mev_per_atom": -1402}

=====

Entry 7:
{"formula": "Ce2GdTm", "functional": "PBE", "state": "relaxed", "lattice": [[4.893, 0.000, 0.000], [0.000, 4.893, 0.000], [0.000, 0.000, 5.056]], "species": ["Ce", "Ce", "Gd", "Tm"], "fractional_positions": [[0.000, 0.500, 0.000], [0.500, 0.000, 0.000], [0.000, 0.000, 0.500], [0.500, 0.500, 0.500]], "de_polymorph_mev_per_atom": 0.0, "e_form_mev_per_atom": 106}

=====

Entry 8:
{"formula": "NdGaSn", "functional": "PBE", "state": "relaxed", "lattice": [[3.344, 0.000, 0.000], [0.000, 3.344, 0.000], [0.000, 0.000, 16.051]], "species": ["Nd", "Nd", "Ga", "Ga", "Sn", "Sn"], "fractional_positions": [[0.000, 0.000, 0.000], [0.500, 0.500, 0.500], [0.000, 0.000, 0.186], [0.500, 0.500, 0.686], [0.000, 0.000, 0.357], [0.500, 0.500, 0.857]], "e_form_mev_per_atom": -33}

=====

Entry 9:
{"formula": "MgOs2W", "functional": "PBE", "state": "relaxed", "lattice": [[3.065, 0.000, 0.000], [0.000, 4.651, 0.000], [0.000, 0.000, 8.699]], "species": ["Mg", "Mg", "Os", "Os", "Os", "Os", "W", "W"], "fractional_positions": [[0.000, 0.000, 0.000], [0.500, 0.500, 0.500], [0.000, 0.500, 0.236], [0.000, 0.500, 0.764], [0.500, 0.000, 0.264], [0.500, 0.000, 0.736], [0.000, 0.000, 0.500], [0.500, 0.500, 0.000]], "e_form_mev_per_atom": 312}

=====

Entry 10:
{"formula": "LiSb2W", "functional": "PBE", "state": "relaxed", "lattice": [[3.357, 0.000, 0.000], [0.000, 3.493, 0.000], [0.000, 0.000, 15.197]], "species": ["Li", "Li", "Sb", "Sb", "Sb", "Sb", "W", "W"], "fractional_positions": [[0.000, 0.000, 0.000], [0.500, 0.500, 0.500], [0.000, 0.000, 0.386], [0.000, 0.500, 0.655], [0.500, 0.000, 0.155], [0.500, 0.500, 0.886], [0.000, 0.500, 0.248], [0.500, 0.000, 0.748]], "de_polymorph_mev_per_atom": 122.5, "e_form_raw_ev_per_atom": 0.208}

=====

Entry 11:
{"formula": "HoMgTa", "functional": "PBE", "state": "relaxed", "lattice": [[0.000, 3.888, 8.039], [2.561, 0.000, 8.039], [2.561, 3.888, 0.000]], "species": ["Ho", "Ho", "Mg", "Mg", "Ta", "Ta"], "fractional_positions": [[0.102, 0.102, 0.898], [0.898, 0.898, 0.102], [0.250, 0.250, 0.250], [0.750, 0.750, 0.750], [0.337, 0.663, 0.337], [0.663, 0.337, 0.663]], "e_form_mev_per_atom": 543}

=====

Entry 12:
{"formula": "Zr3Fe5Sb", "functional": "PBE", "state": "relaxed", "lattice": [[7.862, 0.000, 0.000], [-3.931, 6.809, 0.000], [0.000, 0.000, 5.436]], "species": ["Zr", "Zr", "Zr", "Zr", "Zr", "Zr", "Fe", "Fe", "Fe", "Fe", "Fe", "Fe", "Fe", "Fe", "Fe", "Fe", "Sb", "Sb"], "fractional_positions": [[0.000, 0.366, 0.250], [0.000, 0.634, 0.750], [0.366, 0.000, 0.250], [0.366, 0.366, 0.750], [0.634, 0.000, 0.750], [0.634, 0.634, 0.250], [0.000, 0.316, 0.750], [0.000, 0.684, 0.250], [0.316, 0.000, 0.750], [0.316, 0.316, 0.250], [0.333, 0.667, 0.000], [0.333, 0.667, 0.500], [0.667, 0.333, 0.000], [0.667, 0.333, 0.500], [0.684, 0.000, 0.250], [0.684, 0.684, 0.750], [0.000, 0.000, 0.000], [0.000, 0.000, 0.500]], "e_form_raw_ev_per_atom": 0.101}

=====

Entry 13:
{"formula": "NdSmPu2P4", "functional": "PBE", "state": "relaxed", "lattice": [[5.754, 0.000, 0.000], [0.000, 5.754, 0.000], [0.000, 0.000, 11.490]], "species": ["Nd", "Nd", "Sm", "Sm", "Pu", "Pu", "Pu", "Pu", "P", "P", "P", "P", "P", "P", "P", "P"], "fractional_positions": [[0.000, 0.000, 0.000], [0.500, 0.500, 0.500], [0.000, 0.000, 0.500], [0.500, 0.500, 0.000], [0.000, 0.500, 0.250], [0.000, 0.500, 0.750], [0.500, 0.000, 0.250], [0.500, 0.000, 0.750], [0.000, 0.000, 0.251], [0.000, 0.000, 0.749], [0.000, 0.500, 0.000], [0.000, 0.500, 0.500], [0.500, 0.000, 0.000], [0.500, 0.000, 0.500], [0.500, 0.500, 0.249], [0.500, 0.500, 0.751]], "e_form_mev_per_atom": -1327}

=====

Entry 14:
{"formula": "CaLa2InPt", "functional": "PBE", "state": "relaxed", "lattice": [[5.614, 0.000, 0.000], [0.000, 5.614, 0.000], [0.000, 0.000, 5.582]], "species": ["Ca", "La", "La", "In", "Pt"], "fractional_positions": [[0.000, 0.000, 0.000], [0.000, 0.500, 0.500], [0.500, 0.000, 0.500], [0.500, 0.500, 0.000], [0.000, 0.000, 0.500]], "e_form_mev_per_atom": -522}

=====

Entry 15:
{"formula": "Pr2HgSb", "functional": "PBE", "state": "relaxed", "lattice": [[4.363, 0.000, 0.000], [-2.181, 3.778, 0.000], [0.000, 0.000, 24.272]], "species": ["Pr", "Pr", "Pr", "Pr", "Pr", "Pr", "Hg", "Hg", "Hg", "Sb", "Sb", "Sb"], "fractional_positions": [[0.000, 0.000, 0.000], [0.000, 0.000, 0.178], [0.333, 0.667, 0.667], [0.333, 0.667, 0.845], [0.667, 0.333, 0.333], [0.667, 0.333, 0.512], [0.000, 0.000, 0.422], [0.333, 0.667, 0.088], [0.667, 0.333, 0.755], [0.000, 0.000, 0.590], [0.333, 0.667, 0.256], [0.667, 0.333, 0.923]], "de_polymorph_mev_per_atom": 90.9, "e_form_raw_ev_per_atom": -0.685}

=====

Entry 16:
{"formula": "HoPuMgZn", "functional": "PBE", "state": "relaxed", "lattice": [[7.320, 0.000, 0.000], [0.000, 7.320, 0.000], [0.000, 0.000, 7.320]], "species": ["Ho", "Ho", "Ho", "Ho", "Pu", "Pu", "Pu", "Pu", "Mg", "Mg", "Mg", "Mg", "Zn", "Zn", "Zn", "Zn"], "fractional_positions": [[0.000, 0.000, 0.000], [0.000, 0.500, 0.500], [0.500, 0.000, 0.500], [0.500, 0.500, 0.000], [0.000, 0.000, 0.500], [0.000, 0.500, 0.000], [0.500, 0.000, 0.000], [0.500, 0.500, 0.500], [0.250, 0.250, 0.250], [0.250, 0.750, 0.750], [0.750, 0.250, 0.750], [0.750, 0.750, 0.250], [0.250, 0.250, 0.750], [0.250, 0.750, 0.250], [0.750, 0.250, 0.250], [0.750, 0.750, 0.750]], "e_form_mev_per_atom": -4}

=====

Entry 17:
{"formula": "AcYGeAu", "functional": "PBE", "state": "relaxed", "lattice": [[7.545, 0.000, 0.000], [0.000, 7.545, 0.000], [0.000, 0.000, 7.545]], "species": ["Ac", "Ac", "Ac", "Ac", "Y", "Y", "Y", "Y", "Ge", "Ge", "Ge", "Ge", "Au", "Au", "Au", "Au"], "fractional_positions": [[0.000, 0.000, 0.000], [0.000, 0.500, 0.500], [0.500, 0.000, 0.500], [0.500, 0.500, 0.000], [0.000, 0.000, 0.500], [0.000, 0.500, 0.000], [0.500, 0.000, 0.000], [0.500, 0.500, 0.500], [0.250, 0.250, 0.250], [0.250, 0.750, 0.750], [0.750, 0.250, 0.750], [0.750, 0.750, 0.250], [0.250, 0.250, 0.750], [0.250, 0.750, 0.250], [0.750, 0.250, 0.250], [0.750, 0.750, 0.750]], "e_form_mev_per_atom": -669}

=====

Entry 18:
{"formula": "MoPb3C", "functional": "PBE", "state": "relaxed", "lattice": [[4.953, 0.000, 0.000], [0.000, 4.953, 0.000], [0.000, 0.000, 4.953]], "species": ["Mo", "Pb", "Pb", "Pb", "C"], "fractional_positions": [[0.000, 0.000, 0.000], [0.000, 0.500, 0.500], [0.500, 0.000, 0.500], [0.500, 0.500, 0.000], [0.500, 0.500, 0.500]], "de_polymorph_mev_per_atom": 0.0, "e_form_mev_per_atom": 1539}

=====

Entry 19:
{"formula": "UGaFe", "functional": "PBE", "state": "relaxed", "lattice": [[2.972, 0.000, 0.000], [0.000, 2.972, 0.000], [0.000, 0.000, 10.917]], "species": ["U", "U", "Ga", "Ga", "Fe", "Fe"], "fractional_positions": [[0.000, 0.000, 0.000], [0.500, 0.500, 0.500], [0.000, 0.000, 0.713], [0.500, 0.500, 0.213], [0.000, 0.000, 0.349], [0.500, 0.500, 0.849]], "e_form_mev_per_atom": -147}

=====

Entry 20:
{"formula": "CaPbF2", "functional": "PBE", "state": "relaxed", "lattice": [[3.533, 0.000, 0.000], [-1.767, 3.060, 0.000], [0.000, 0.000, 26.512]], "species": ["Ca", "Ca", "Ca", "Pb", "Pb", "Pb", "F", "F", "F", "F", "F", "F"], "fractional_positions": [[0.000, 0.000, 0.000], [0.333, 0.667, 0.667], [0.667, 0.333, 0.333], [0.000, 0.000, 0.500], [0.333, 0.667, 0.167], [0.667, 0.333, 0.833], [0.000, 0.000, 0.371], [0.000, 0.000, 0.629], [0.333, 0.667, 0.038], [0.333, 0.667, 0.296], [0.667, 0.333, 0.704], [0.667, 0.333, 0.962]], "de_polymorph_mev_per_atom": 0.0, "e_form_raw_ev_per_atom": -2.707}

=====

Energy: -5.3317, -6.4170, -2.8479, -3.1356, -4.8377, -6.5603, -7.4992, -3.9652, -8.9401, -5.5701, -5.4657, -7.9076, -8.8009, -4.6492, -4.1807, -5.4484, -5.2856, -4.6969, -7.7391, -5.0706 (eV/atom)
Total moment: 3.09, 0.00, 4.99, 0.00, 0.00, 0.00, 8.98, 0.00, 0.00, 0.00, 0.00, 15.82, 19.66, 0.00, 0.00, 25.04, 2.06, 3.51, 0.38, 0.00 (μB per cell)